An optimized crystal structure of Na2Er2B2TeO10, computed with PBE. Values from VASP.

Computed properties:
The value obtained for the total energy is -238.86 eV per cell. As for the total magnetization: 0.0 μB per formula unit. As for the symmetry: P2_1/c (14).

```
&SYSTEM
  ibrav = 0, nat = 34, ntyp = 5
/
ATOMIC_SPECIES
Na 22.99 Na.upf
Er 167.26 Er.upf
B 10.81 B.upf
Te 127.60 Te.upf
O 16.00 O.upf
CELL_PARAMETERS angstrom
6.2563 0.0000 0.0000
0.0000 9.8685 0.0000
-1.6095 0.0000 6.4794
ATOMIC_POSITIONS crystal
Na 0.0836 0.1105 0.1671
Na 0.0836 0.3895 0.6671
Na 0.9164 0.6105 0.3329
Na 0.9164 0.8895 0.8329
Er 0.3735 0.6668 0.9771
Er 0.3735 0.8332 0.4771
Er 0.6265 0.1668 0.5229
Er 0.6265 0.3332 0.0229
B 0.1615 0.1006 0.6259
B 0.1615 0.3994 0.1259
B 0.8385 0.6006 0.8741
B 0.8385 0.8994 0.3741
Te 0.5000 0.0000 0.0000
Te 0.5000 0.5000 0.5000
O 0.0215 0.6746 0.9513
O 0.0215 0.8254 0.4513
O 0.2046 0.0631 0.8368
O 0.2046 0.4369 0.3368
O 0.3024 0.0602 0.5083
O 0.3024 0.4398 0.0083
O 0.3337 0.6169 0.6355
O 0.3337 0.8831 0.1355
O 0.4914 0.1524 0.1784
O 0.4914 0.3476 0.6784
O 0.5086 0.6524 0.3216
O 0.5086 0.8476 0.8216
O 0.6663 0.1169 0.8645
O 0.6663 0.3831 0.3645
O 0.6976 0.5602 0.9917
O 0.6976 0.9398 0.4917
O 0.7954 0.5631 0.6632
O 0.7954 0.9369 0.1632
O 0.9785 0.1746 0.5487
O 0.9785 0.3254 0.0487
```

=====

An optimized crystal structure of NdErB4, computed with PBE. Values from VASP.

Computed properties:
The value obtained for the total energy is -38.78 eV per cell. As for the total magnetization: 0.0 μB per formula unit. As for the symmetry: P6/mmm (191).

```
&SYSTEM
  ibrav = 0, nat = 6, ntyp = 3
/
ATOMIC_SPECIES
Nd 144.24 Nd.upf
Er 167.26 Er.upf
B 10.81 B.upf
CELL_PARAMETERS angstrom
3.3016 0.0000 0.0000
-1.6508 2.8593 0.0000
0.0000 0.0000 7.9564
ATOMIC_POSITIONS crystal
Nd 0.0000 0.0000 0.0000
Er 0.0000 0.0000 0.5000
B 0.3333 0.6667 0.2643
B 0.3333 0.6667 0.7357
B 0.6667 0.3333 0.2643
B 0.6667 0.3333 0.7357
```

=====

An optimized crystal structure of NdErB, computed with PBE. Values from VASP.

Computed properties:
As for the total magnetization: 0.1 μB per formula unit. As for the symmetry: F-43m (216). Its relative energy among the computed polymorphs is 0 meV/atom.

```
&SYSTEM
  ibrav = 0, nat = 3, ntyp = 3
/
ATOMIC_SPECIES
Nd 144.24 Nd.upf
Er 167.26 Er.upf
B 10.81 B.upf
CELL_PARAMETERS angstrom
0.0000 3.2442 3.2442
3.2442 0.0000 3.2442
3.2442 3.2442 0.0000
ATOMIC_POSITIONS crystal
Nd 0.0000 0.0000 0.0000
Er 0.5000 0.5000 0.5000
B 0.7500 0.7500 0.7500
```

=====

An optimized crystal structure of ErNiB4, computed with PBE. Values from VASP.

Computed properties:
As for the total magnetization: 0.0 μB per formula unit. As for the symmetry: Pbam (55). Its relative energy among the computed polymorphs is 21 meV/atom.

```
&SYSTEM
  ibrav = 0, nat = 24, ntyp = 3
/
ATOMIC_SPECIES
Er 167.26 Er.upf
Ni 58.69 Ni.upf
B 10.81 B.upf
CELL_PARAMETERS angstrom
5.8725 0.0000 0.0000
0.0000 11.4058 0.0000
0.0000 0.0000 3.3967
ATOMIC_POSITIONS crystal
Er 0.1273 0.1503 0.0000
Er 0.3727 0.6503 0.0000
Er 0.6273 0.3497 0.0000
Er 0.8727 0.8497 0.0000
Ni 0.1338 0.4117 0.0000
Ni 0.3662 0.9117 0.0000
Ni 0.6338 0.0883 0.0000
Ni 0.8662 0.5883 0.0000
B 0.0214 0.6915 0.5000
B 0.1134 0.5473 0.5000
B 0.1371 0.9669 0.5000
B 0.2152 0.8149 0.5000
B 0.2848 0.3149 0.5000
B 0.3629 0.4669 0.5000
B 0.3866 0.0473 0.5000
B 0.4786 0.1915 0.5000
B 0.5214 0.8085 0.5000
B 0.6134 0.9527 0.5000
B 0.6371 0.5331 0.5000
B 0.7152 0.6851 0.5000
B 0.7848 0.1851 0.5000
B 0.8629 0.0331 0.5000
B 0.8866 0.4527 0.5000
B 0.9786 0.3085 0.5000
```

=====

An optimized crystal structure of Er4NiB13, computed with PBE. Values from VASP.

Computed properties:
The value obtained for the total energy is -239.31 eV per cell. As for the total magnetization: 0.0 μB per formula unit. As for the symmetry: P4/mnc (128).

```
&SYSTEM
  ibrav = 0, nat = 36, ntyp = 3
/
ATOMIC_SPECIES
Er 167.26 Er.upf
Ni 58.69 Ni.upf
B 10.81 B.upf
CELL_PARAMETERS angstrom
7.2691 0.0000 0.0000
0.0000 7.2691 0.0000
0.0000 0.0000 6.8304
ATOMIC_POSITIONS crystal
Er 0.1800 0.3153 0.0000
Er 0.1847 0.3200 0.5000
Er 0.3153 0.8200 0.0000
Er 0.3200 0.8153 0.5000
Er 0.6800 0.1847 0.5000
Er 0.6847 0.1800 0.0000
Er 0.8153 0.6800 0.5000
Er 0.8200 0.6847 0.0000
Ni 0.0000 0.0000 0.5000
Ni 0.5000 0.5000 0.0000
B 0.0000 0.0000 0.0000
B 0.0398 0.8294 0.2429
B 0.0398 0.8294 0.7571
B 0.0915 0.5915 0.2500
B 0.0915 0.5915 0.7500
B 0.1706 0.0398 0.2429
B 0.1706 0.0398 0.7571
B 0.3294 0.5398 0.2571
B 0.3294 0.5398 0.7429
B 0.4085 0.0915 0.2500
B 0.4085 0.0915 0.7500
B 0.4602 0.3294 0.2571
B 0.4602 0.3294 0.7429
B 0.5000 0.5000 0.5000
B 0.5398 0.6706 0.2571
B 0.5398 0.6706 0.7429
B 0.5915 0.9085 0.2500
B 0.5915 0.9085 0.7500
B 0.6706 0.4602 0.2571
B 0.6706 0.4602 0.7429
B 0.8294 0.9602 0.2429
B 0.8294 0.9602 0.7571
B 0.9085 0.4085 0.2500
B 0.9085 0.4085 0.7500
B 0.9602 0.1706 0.2429
B 0.9602 0.1706 0.7571
```

=====

An optimized crystal structure of ErNiB4, computed with PBE. Values from VASP.

Computed properties:
As for the total magnetization: 0.0 μB per formula unit. As for the symmetry: P6/mmm (191). Its relative energy among the computed polymorphs is 257 meV/atom.

```
&SYSTEM
  ibrav = 0, nat = 6, ntyp = 3
/
ATOMIC_SPECIES
Er 167.26 Er.upf
Ni 58.69 Ni.upf
B 10.81 B.upf
CELL_PARAMETERS angstrom
3.1695 0.0000 0.0000
-1.5847 2.7449 0.0000
0.0000 0.0000 6.4301
ATOMIC_POSITIONS crystal
Er 0.0000 0.0000 0.0000
Ni 0.0000 0.0000 0.5000
B 0.3333 0.6667 0.2907
B 0.3333 0.6667 0.7093
B 0.6667 0.3333 0.2907
B 0.6667 0.3333 0.7093
```

=====

An optimized crystal structure of ErNiB, computed with PBE. Values from VASP.

Computed properties:
As for the total magnetization: 0.6 μB per formula unit. As for the symmetry: F-43m (216). Its relative energy among the computed polymorphs is 708 meV/atom.

```
&SYSTEM
  ibrav = 0, nat = 3, ntyp = 3
/
ATOMIC_SPECIES
Er 167.26 Er.upf
Ni 58.69 Ni.upf
B 10.81 B.upf
CELL_PARAMETERS angstrom
0.0000 2.8790 2.8790
2.8790 0.0000 2.8790
2.8790 2.8790 0.0000
ATOMIC_POSITIONS crystal
Er 0.0000 0.0000 0.0000
Ni 0.7500 0.7500 0.7500
B 0.5000 0.5000 0.5000
```

=====

An optimized crystal structure of ErNiB, computed with PBE. Values from VASP.

Computed properties:
As for the total magnetization: 0.0 μB per formula unit. As for the symmetry: Pnma (62). Its relative energy among the computed polymorphs is 0 meV/atom.

```
&SYSTEM
  ibrav = 0, nat = 12, ntyp = 3
/
ATOMIC_SPECIES
Er 167.26 Er.upf
Ni 58.69 Ni.upf
B 10.81 B.upf
CELL_PARAMETERS angstrom
6.1895 0.0000 0.0000
0.0000 3.5258 0.0000
0.0000 0.0000 7.9430
ATOMIC_POSITIONS crystal
Er 0.0209 0.2500 0.1874
Er 0.4791 0.7500 0.6874
Er 0.5209 0.2500 0.3126
Er 0.9791 0.7500 0.8126
Ni 0.1358 0.2500 0.5340
Ni 0.3642 0.7500 0.0340
Ni 0.6358 0.2500 0.9660
Ni 0.8642 0.7500 0.4660
B 0.1978 0.7500 0.4263
B 0.3022 0.2500 0.9263
B 0.6978 0.7500 0.0737
B 0.8022 0.2500 0.5737
```